First-principles (PBE-GGA) data for a geometry-optimized GdY2Sn2Pb5 structure, as listed in OQMD.

As for the distance to the lowest polymorph of the same formula: 0 meV per atom. As for the theoretical density: 9.52 g/cm³. The energy comes out at -4.83 eV per atom. As for the crystal system: orthorhombic.

The structure belongs to space group Cmmm (No. 65); the cell edges are 4.513, 26.954 and 4.615 Å and the angles 90.00°, 90.00° and 90.00°. The asymmetric unit holds Gd at (0.000, 0.000, 0.000), Y at (0.000, 0.306, 0.500), Sn at (0.000, 0.211, 0.000), Pb at (0.000, 0.099, 0.500), Pb at (0.000, 0.400, 0.000) and Pb at (0.000, 0.500, 0.500).